A plane-wave DFT calculation with PBE+U was carried out for KTa2Fe2O7 after structural relaxation.

a b c (Å): 4.1595 4.0020 9.4631
angles (deg): 102.21 102.70 90.00
Site moments in Bohr magnetons follow the coordinates.
Positions (direct):
K 0.0000 0.0000 0.0000  0.00
Ta 0.3904 0.3906 0.7808  0.03
Ta 0.6096 0.6093 0.2192  0.03
Fe 0.2367 0.7368 0.4735  3.74
Fe 0.7633 0.2631 0.5265  3.74
O 0.3853 0.8855 0.7705  0.01
O 0.7288 0.7286 0.4576  0.10
O 0.1152 0.6149 0.2305  0.03
O 0.6147 0.1145 0.2295  0.01
O 0.2712 0.2713 0.5424  0.10
O 0.8848 0.3850 0.7695  0.03
O 0.5000 0.5000 0.0000  0.00

Computed properties:
The density is 6.91 g cm⁻³. The calculated total energy is -97.1 eV per cell. For the density of states at the Fermi level, the calculation gives 2.51 states/eV/cell.